NbGaW3 | PBE-GGA | relaxed

The calculation puts the polymorph energy (0 for the lowest one) at 0.000 eV per formula unit. For the total energy, the calculation gives -8.75 eV per atom. The energy of formation from the pure elements comes out at 1.64 eV/atom.

The structure belongs to space group Pm-3m (No. 221); the cell edges are 4.569, 4.569 and 4.569 Å and the angles 90.00°, 90.00° and 90.00°. The distinct sites, in fractional coordinates, are Nb at (0.000, 0.000, 0.000), Ga at (0.500, 0.500, 0.500) and W at (0.000, 0.500, 0.500).

=====

NbGaW3 | PBE-GGA | relaxed

The calculation puts the polymorph energy (0 for the lowest one) at 3.254 eV per formula unit. For the total energy, the calculation gives -8.10 eV per atom. The energy of formation from the pure elements comes out at 2.29 eV/atom.

The structure belongs to space group Pm-3m (No. 221); the cell edges are 4.781, 4.781 and 4.781 Å and the angles 90.00°, 90.00° and 90.00°. The distinct sites, in fractional coordinates, are Nb at (0.000, 0.000, 0.000), Ga at (0.500, 0.500, 0.500) and W at (0.000, 0.000, 0.500).

=====

NbGa2W | PBE-GGA | relaxed

The calculation puts the polymorph energy (0 for the lowest one) at 0.650 eV per formula unit. For the total energy, the calculation gives -6.93 eV per atom. The energy of formation from the pure elements comes out at 0.34 eV/atom.

The structure belongs to space group R-3m (No. 166, hexagonal axes); the cell edges are 2.8541, 2.8541 and 29.8933 Å and the angles 90.00°, 90.00° and 120.00°. The distinct sites, in fractional coordinates, are Nb at (0.0000, 0.0000, 0.0000), Ga at (0.0000, 0.0000, 0.4113) and W at (0.0000, 0.0000, 0.5000).

=====

Nb3GaW | PBE-GGA | relaxed

The calculation puts the polymorph energy (0 for the lowest one) at 0.452 eV per formula unit. For the total energy, the calculation gives -7.86 eV per atom. The energy of formation from the pure elements comes out at 1.38 eV/atom.

The structure belongs to space group Pm-3m (No. 221); the cell edges are 4.679, 4.679 and 4.679 Å and the angles 90.00°, 90.00° and 90.00°. The distinct sites, in fractional coordinates, are Nb at (0.000, 0.000, 0.500), Ga at (0.000, 0.000, 0.000) and W at (0.500, 0.500, 0.500).